Run A
Material: CuSn2Se4
Method: DFT, GGA-PBE
State: relaxed

The space group is C2/c (No. 15) and the conventional cell measures 13.791, 7.955 and 13.786 Å, with angles of 90.00, 109.42 and 90.00 degrees. The distinct sites, in fractional coordinates, are Cu at (0.188, 0.249, 0.313), Sn at (0.000, 0.000, 0.000), Sn at (0.000, 0.251, 0.750), Sn at (0.000, 0.500, 0.000), Sn at (0.250, 0.250, 0.000), Se at (0.125, 0.001, 0.875), Se at (0.125, 0.250, 0.125), Se at (0.125, 0.250, 0.625) and Se at (0.125, 0.500, 0.375).

For the total magnetization, the calculation gives 0.000 μB/f.u.


Run B
Material: CuSn2Se4
Method: DFT, GGA-PBE
State: relaxed

The space group is C2/m (No. 12) and the conventional cell measures 14.023, 3.815 and 7.041 Å, with angles of 90.00, 111.34 and 90.00 degrees. The distinct sites, in fractional coordinates, are Cu at (0.000, 0.000, 0.000), Sn at (0.234, 0.500, 0.723), Se at (0.108, 0.500, 0.979) and Se at (0.120, 0.000, 0.463).

For the total magnetization, the calculation gives 0.000 μB/f.u.


So which one is most stable? That would be run A, about 46 meV per atom below the next structure.


Run A
Material: SrCuSe3
Method: DFT, GGA-PBE
State: relaxed

The space group is Pm-3m (No. 221) and the conventional cell measures 5.845, 5.845 and 5.845 Å, with angles of 90.00, 90.00 and 90.00 degrees. The distinct sites, in fractional coordinates, are Sr at (0.000, 0.000, 0.000), Cu at (0.500, 0.500, 0.500) and Se at (0.000, 0.000, 0.500).

For the total magnetization, the calculation gives 3.000 μB/f.u.


Run B
Material: SrCuSe3
Method: DFT, GGA-PBE
State: relaxed

The space group is Pm-3m (No. 221) and the conventional cell measures 4.924, 4.924 and 4.924 Å, with angles of 90.00, 90.00 and 90.00 degrees. The distinct sites, in fractional coordinates, are Sr at (0.000, 0.000, 0.000), Cu at (0.500, 0.500, 0.500) and Se at (0.000, 0.500, 0.500).

For the total magnetization, the calculation gives 0.000 μB/f.u.


So which one is most stable? That would be run B, about 1142 meV per atom below the next structure.


Run A
Material: SrCu3Se3
Method: DFT, GGA-PBE
State: relaxed

The space group is R-3 (No. 148, hexagonal axes) and the conventional cell measures 7.0302, 7.0302 and 21.7038 Å, with angles of 90.00, 90.00 and 120.00 degrees. The distinct sites, in fractional coordinates, are Sr at (0.0000, 0.0000, 0.1664), Cu at (0.0018, 0.3442, 0.6263) and Se at (0.0010, 0.3262, 0.4087).

For the total magnetization, the calculation gives 0.000 μB/f.u.


Run B
Material: SrCu3Se3
Method: DFT, GGA-PBE
State: relaxed

The space group is P6_3/m (No. 176) and the conventional cell measures 9.5473, 9.5473 and 4.1646 Å, with angles of 90.00, 90.00 and 120.00 degrees. The distinct sites, in fractional coordinates, are Sr at (0.3333, 0.6667, 0.2500), Cu at (0.0507, 0.6394, 0.7500) and Se at (0.0974, 0.3975, 0.7500).

For the total magnetization, the calculation gives 0.000 μB/f.u.


So which one is most stable? That would be run A, about 9 meV per atom below the next structure.